Material: TbZnH8Ir2
Method: DFT, GGA-PBE
State: optimized geometry

abc: 4.2790 4.6194 6.3945
angles: 65.76 70.45 62.41
With the nearest neighbours (Å) after each atom.
Atoms (fractional coordinates):
1 Tb 0.5000 0.5000 0.5000  10 H 2.33-2.36
2 H 0.0682 0.0214 0.3200  1 Ir 1.65
3 H 0.7136 0.4478 0.1251  1 Ir 1.68
4 H 0.0812 0.5019 0.3356  1 Ir 1.69
5 Ir 0.7081 0.7294 0.8544  4 H 1.65-1.69
6 H 0.9318 0.9786 0.6800  1 Ir 1.65
7 H 0.4096 0.9786 0.6800  1 Ir 1.65
8 Zn 0.0000 0.0000 0.0000  8 H 2.19-2.39
9 H 0.5904 0.0214 0.3200  1 Ir 1.65
10 H 0.9188 0.4981 0.6644  1 Ir 1.69
11 Ir 0.2919 0.2706 0.1456  4 H 1.65-1.69
12 H 0.2864 0.5522 0.8749  1 Ir 1.68

Summary:
Raw total energy in eV per atom: -4.393